# GGA-PBE TaVAsBr2, optimized geometry
# ΔE to the lowest computed polymorph (meV per atom): 243
# Formation energy from raw total energies (meV per atom): 833.2
# Calculated volume (Å³/cell): 120
data_TaVAsBr2
_chemical_formula_sum 'Ta1 V1 As1 Br2'
_cell_length_a 4.850
_cell_length_b 4.850
_cell_length_c 5.107
_cell_angle_alpha 90.00
_cell_angle_beta 90.00
_cell_angle_gamma 90.00
_symmetry_space_group_name_H-M 'P 4/m m m'
_symmetry_Int_Tables_number 123
_symmetry_space_group_name_Hall '-P 4 2'
loop_
_atom_site_label
_atom_site_type_symbol
_atom_site_fract_x
_atom_site_fract_y
_atom_site_fract_z
Ta1 Ta 0.000 0.000 0.000
V1 V 0.500 0.500 0.500
As1 As 0.500 0.500 0.000
Br1 Br 0.000 0.500 0.500